LiMo3Se3: PBEsol geometry, SCAN.

abc: 8.7653 8.7653 4.4677
angles: 90.00 90.00 120.00
Space group P6_3/m (No. 176)
Asymmetric unit:
1 Li 0.3333 0.6667 0.2500 (multiplicity 2)
2 Mo 0.0280 0.8420 0.7500 (multiplicity 6)
3 Se 0.0538 0.6874 0.2500 (multiplicity 6)

Summary:
ΔE_f (raw)   -0.6613 eV per atom